No. 1
{
  "formula": "BaMo2P3O14",
  "functional": "PBE+U",
  "state": "optimized geometry",
  "lattice": [[6.728, -4.936, 0.000], [6.728, 4.936, 0.000], [-1.458, 0.000, 8.678]],
  "species": ["Ba", "Ba", "Mo", "Mo", "Mo", "Mo", "P", "P", "P", "P", "P", "P", "O", "O", "O", "O", "O", "O", "O", "O", "O", "O", "O", "O", "O", "O", "O", "O", "O", "O", "O", "O", "O", "O", "O", "O", "O", "O", "O", "O"],
  "frac_coords": [[0.036, 0.964, 0.500], [0.964, 0.036, 0.000], [0.191, 0.514, 0.161], [0.511, 0.805, 0.832], [0.514, 0.191, 0.661], [0.805, 0.511, 0.332], [0.117, 0.319, 0.810], [0.319, 0.117, 0.310], [0.426, 0.567, 0.500], [0.567, 0.426, 0.000], [0.656, 0.900, 0.199], [0.900, 0.656, 0.699], [0.017, 0.196, 0.750], [0.054, 0.489, 0.724], [0.095, 0.370, 0.984], [0.134, 0.700, 0.076], [0.196, 0.017, 0.250], [0.254, 0.302, 0.280], [0.275, 0.624, 0.377], [0.302, 0.254, 0.780], [0.316, 0.915, 0.893], [0.370, 0.095, 0.484], [0.409, 0.722, 0.624], [0.414, 0.421, 0.582], [0.421, 0.414, 0.082], [0.489, 0.054, 0.224], [0.515, 0.594, 0.928], [0.560, 0.965, 0.743], [0.594, 0.515, 0.428], [0.624, 0.275, 0.877], [0.637, 0.751, 0.270], [0.653, 0.864, 0.020], [0.700, 0.134, 0.576], [0.722, 0.409, 0.124], [0.751, 0.637, 0.770], [0.809, 0.961, 0.253], [0.864, 0.653, 0.520], [0.915, 0.316, 0.393], [0.961, 0.809, 0.753], [0.965, 0.560, 0.243]]
}


No. 2
{
  "formula": "BaMo2P2O12",
  "functional": "PBE+U",
  "state": "optimized geometry",
  "lattice": [[6.478, 0.000, 0.000], [0.000, 7.327, 0.000], [-0.870, 0.000, 10.177]],
  "species": ["Ba", "Ba", "Mo", "Mo", "Mo", "Mo", "P", "P", "P", "P", "O", "O", "O", "O", "O", "O", "O", "O", "O", "O", "O", "O", "O", "O", "O", "O", "O", "O", "O", "O", "O", "O", "O", "O"],
  "frac_coords": [[0.000, 0.000, 0.000], [0.000, 0.500, 0.500], [0.269, 0.030, 0.673], [0.269, 0.470, 0.173], [0.731, 0.530, 0.827], [0.731, 0.970, 0.327], [0.237, 0.060, 0.345], [0.237, 0.440, 0.845], [0.763, 0.560, 0.155], [0.763, 0.940, 0.655], [0.047, 0.570, 0.819], [0.047, 0.930, 0.319], [0.223, 0.166, 0.474], [0.223, 0.334, 0.974], [0.230, 0.682, 0.100], [0.230, 0.818, 0.600], [0.245, 0.183, 0.222], [0.245, 0.317, 0.722], [0.308, 0.526, 0.339], [0.308, 0.974, 0.839], [0.434, 0.564, 0.854], [0.434, 0.936, 0.354], [0.566, 0.064, 0.646], [0.566, 0.436, 0.146], [0.692, 0.026, 0.161], [0.692, 0.474, 0.661], [0.755, 0.683, 0.278], [0.755, 0.817, 0.778], [0.770, 0.182, 0.400], [0.770, 0.318, 0.900], [0.777, 0.666, 0.026], [0.777, 0.834, 0.526], [0.953, 0.070, 0.681], [0.953, 0.430, 0.181]]
}


No. 3
{
  "formula": "BaMoP2O",
  "functional": "PBE+U",
  "state": "optimized geometry",
  "lattice": [[4.952, 0.000, 0.000], [0.000, 4.952, 0.000], [0.000, 0.000, 4.037]],
  "species": ["Ba", "Mo", "P", "P", "O"],
  "frac_coords": [[0.000, 0.000, 0.000], [0.500, 0.500, 0.500], [0.000, 0.500, 0.500], [0.500, 0.000, 0.500], [0.500, 0.500, 0.000]],
  "de_polymorph_mev_per_atom": 0
}


No. 4
{
  "formula": "BaMoPO2",
  "functional": "PBE+U",
  "state": "optimized geometry",
  "lattice": [[4.359, 0.000, 0.000], [0.000, 4.359, 0.000], [0.000, 0.000, 6.930]],
  "species": ["Ba", "Mo", "P", "O", "O"],
  "frac_coords": [[0.000, 0.000, 0.000], [0.500, 0.500, 0.500], [0.000, 0.000, 0.500], [0.000, 0.500, 0.000], [0.500, 0.000, 0.000]],
  "de_polymorph_mev_per_atom": 1504
}


No. 5
{
  "formula": "BaMo2P3O12",
  "functional": "PBE+U",
  "state": "optimized geometry",
  "lattice": [[4.385, 2.531, 8.065], [-4.385, 2.531, 8.065], [0.000, -5.063, 8.065]],
  "species": ["Ba", "Ba", "Mo", "Mo", "Mo", "Mo", "P", "P", "P", "P", "P", "P", "O", "O", "O", "O", "O", "O", "O", "O", "O", "O", "O", "O", "O", "O", "O", "O", "O", "O", "O", "O", "O", "O", "O", "O"],
  "frac_coords": [[0.000, 0.000, 0.000], [0.500, 0.500, 0.500], [0.151, 0.151, 0.151], [0.349, 0.349, 0.349], [0.651, 0.651, 0.651], [0.849, 0.849, 0.849], [0.038, 0.750, 0.462], [0.250, 0.538, 0.962], [0.462, 0.038, 0.750], [0.538, 0.962, 0.250], [0.750, 0.462, 0.038], [0.962, 0.250, 0.538], [0.019, 0.758, 0.629], [0.070, 0.923, 0.288], [0.077, 0.712, 0.930], [0.129, 0.258, 0.519], [0.212, 0.577, 0.430], [0.242, 0.371, 0.981], [0.258, 0.519, 0.129], [0.288, 0.070, 0.923], [0.371, 0.981, 0.242], [0.423, 0.570, 0.788], [0.430, 0.212, 0.577], [0.481, 0.871, 0.742], [0.519, 0.129, 0.258], [0.570, 0.788, 0.423], [0.577, 0.430, 0.212], [0.629, 0.019, 0.758], [0.712, 0.930, 0.077], [0.742, 0.481, 0.871], [0.758, 0.629, 0.019], [0.788, 0.423, 0.570], [0.871, 0.742, 0.481], [0.923, 0.288, 0.070], [0.930, 0.077, 0.712], [0.981, 0.242, 0.371]]
}


No. 6
{
  "formula": "Ba3Mo2P4O18",
  "functional": "PBE+U",
  "state": "optimized geometry",
  "lattice": [[4.949, 0.000, 0.000], [1.879, 9.175, 0.000], [0.386, 0.340, 18.336]],
  "species": ["Ba", "Ba", "Ba", "Ba", "Ba", "Ba", "Mo", "Mo", "Mo", "Mo", "P", "P", "P", "P", "P", "P", "P", "P", "O", "O", "O", "O", "O", "O", "O", "O", "O", "O", "O", "O", "O", "O", "O", "O", "O", "O", "O", "O", "O", "O", "O", "O", "O", "O", "O", "O", "O", "O", "O", "O", "O", "O", "O", "O"],
  "frac_coords": [[0.049, 0.406, 0.346], [0.270, 0.995, 0.748], [0.393, 0.600, 0.148], [0.607, 0.400, 0.852], [0.730, 0.005, 0.252], [0.951, 0.594, 0.654], [0.194, 0.232, 0.554], [0.327, 0.774, 0.946], [0.673, 0.226, 0.054], [0.806, 0.768, 0.446], [0.144, 0.258, 0.179], [0.196, 0.159, 0.933], [0.262, 0.857, 0.565], [0.363, 0.714, 0.321], [0.637, 0.286, 0.679], [0.738, 0.143, 0.435], [0.804, 0.841, 0.067], [0.856, 0.742, 0.821], [0.000, 0.176, 0.123], [0.000, 0.824, 0.877], [0.007, 0.793, 0.541], [0.012, 0.419, 0.190], [0.116, 0.821, 0.043], [0.155, 0.017, 0.588], [0.158, 0.171, 0.252], [0.163, 0.699, 0.386], [0.209, 0.227, 0.857], [0.223, 0.413, 0.540], [0.226, 0.811, 0.258], [0.315, 0.590, 0.953], [0.328, 0.995, 0.932], [0.337, 0.241, 0.989], [0.391, 0.764, 0.630], [0.398, 0.212, 0.652], [0.453, 0.248, 0.152], [0.454, 0.857, 0.497], [0.484, 0.558, 0.295], [0.516, 0.442, 0.705], [0.546, 0.143, 0.503], [0.547, 0.752, 0.848], [0.602, 0.788, 0.348], [0.609, 0.236, 0.370], [0.663, 0.759, 0.011], [0.672, 0.005, 0.068], [0.685, 0.410, 0.047], [0.774, 0.189, 0.742], [0.777, 0.587, 0.460], [0.791, 0.773, 0.143], [0.837, 0.301, 0.614], [0.842, 0.829, 0.748], [0.845, 0.983, 0.412], [0.884, 0.179, 0.957], [0.988, 0.581, 0.810], [0.993, 0.207, 0.459]]
}


No. 7
{
  "formula": "BaPa2MoO8",
  "functional": "PBE+U",
  "state": "optimized geometry",
  "lattice": [[5.164, 0.000, 0.000], [0.000, 7.235, 0.000], [-0.249, 0.000, 5.163]],
  "species": ["Ba", "Pa", "Pa", "Mo", "O", "O", "O", "O", "O", "O", "O", "O"],
  "frac_coords": [[0.000, 0.000, 0.000], [0.500, 0.258, 0.500], [0.500, 0.742, 0.500], [0.000, 0.500, 0.000], [0.201, 0.300, 0.204], [0.201, 0.700, 0.204], [0.308, 0.500, 0.694], [0.341, 0.000, 0.666], [0.659, 0.000, 0.334], [0.692, 0.500, 0.306], [0.799, 0.300, 0.796], [0.799, 0.700, 0.796]]
}


No. 8
{
  "formula": "BaPaMoO6",
  "functional": "PBE+U",
  "state": "optimized geometry",
  "lattice": [[5.700, 0.000, 0.000], [-2.850, 4.936, 0.000], [0.000, 0.000, 11.262]],
  "species": ["Ba", "Ba", "Pa", "Pa", "Mo", "Mo", "O", "O", "O", "O", "O", "O", "O", "O", "O", "O", "O", "O"],
  "frac_coords": [[0.000, 0.000, 0.000], [0.000, 0.000, 0.500], [0.333, 0.667, 0.250], [0.667, 0.333, 0.750], [0.333, 0.667, 0.750], [0.667, 0.333, 0.250], [0.022, 0.390, 0.652], [0.022, 0.632, 0.848], [0.368, 0.390, 0.848], [0.368, 0.978, 0.652], [0.390, 0.022, 0.152], [0.390, 0.368, 0.348], [0.610, 0.632, 0.652], [0.610, 0.978, 0.848], [0.632, 0.022, 0.348], [0.632, 0.610, 0.152], [0.978, 0.368, 0.152], [0.978, 0.610, 0.348]]
}


No. 9
{
  "formula": "Ba2MoPbO6",
  "functional": "PBE+U",
  "state": "optimized geometry",
  "lattice": [[3.000, 1.732, 11.828], [-3.000, 1.732, 11.828], [0.000, -3.464, 11.828]],
  "species": ["Ba", "Ba", "Ba", "Ba", "Mo", "Mo", "Pb", "Pb", "O", "O", "O", "O", "O", "O", "O", "O", "O", "O", "O", "O"],
  "frac_coords": [[0.143, 0.143, 0.143], [0.304, 0.304, 0.304], [0.696, 0.696, 0.696], [0.857, 0.857, 0.857], [0.000, 0.000, 0.000], [0.500, 0.500, 0.500], [0.411, 0.411, 0.411], [0.589, 0.589, 0.589], [0.161, 0.621, 0.621], [0.187, 0.187, 0.718], [0.187, 0.718, 0.187], [0.282, 0.813, 0.813], [0.379, 0.379, 0.839], [0.379, 0.839, 0.379], [0.621, 0.161, 0.621], [0.621, 0.621, 0.161], [0.718, 0.187, 0.187], [0.813, 0.282, 0.813], [0.813, 0.813, 0.282], [0.839, 0.379, 0.379]]
}


No. 10
{
  "formula": "BaMo2PbO8",
  "functional": "PBE+U",
  "state": "optimized geometry",
  "lattice": [[6.094, 0.000, 0.000], [-3.047, 5.278, 0.000], [0.000, 0.000, 7.926]],
  "species": ["Ba", "Mo", "Mo", "Pb", "O", "O", "O", "O", "O", "O", "O", "O"],
  "frac_coords": [[0.000, 0.000, 0.000], [0.333, 0.667, 0.793], [0.667, 0.333, 0.207], [0.000, 0.000, 0.500], [0.170, 0.340, 0.725], [0.170, 0.830, 0.725], [0.333, 0.667, 0.016], [0.340, 0.170, 0.275], [0.660, 0.830, 0.725], [0.667, 0.333, 0.984], [0.830, 0.170, 0.275], [0.830, 0.660, 0.275]]
}


No. 11
{
  "formula": "BaMoPbO2",
  "functional": "PBE+U",
  "state": "optimized geometry",
  "lattice": [[4.473, 0.000, 0.000], [0.000, 4.473, 0.000], [0.000, 0.000, 7.717]],
  "species": ["Ba", "Mo", "Pb", "O", "O"],
  "frac_coords": [[0.000, 0.000, 0.000], [0.500, 0.500, 0.500], [0.000, 0.000, 0.500], [0.000, 0.500, 0.000], [0.500, 0.000, 0.000]]
}


No. 12
{
  "formula": "Ba3Mo2PbO9",
  "functional": "PBE+U",
  "state": "optimized geometry",
  "lattice": [[6.018, 0.000, 0.000], [-3.009, 5.212, 0.000], [0.000, 0.000, 7.785]],
  "species": ["Ba", "Ba", "Ba", "Mo", "Mo", "Pb", "O", "O", "O", "O", "O", "O", "O", "O", "O"],
  "frac_coords": [[0.000, 0.000, 0.000], [0.333, 0.667, 0.711], [0.667, 0.333, 0.289], [0.333, 0.667, 0.161], [0.667, 0.333, 0.839], [0.000, 0.000, 0.500], [0.000, 0.500, 0.000], [0.176, 0.352, 0.289], [0.176, 0.824, 0.289], [0.352, 0.176, 0.711], [0.500, 0.000, 0.000], [0.500, 0.500, 0.000], [0.648, 0.824, 0.289], [0.824, 0.176, 0.711], [0.824, 0.648, 0.711]]
}


No. 13
{
  "formula": "BaMoPbO6",
  "functional": "PBE+U",
  "state": "optimized geometry",
  "lattice": [[5.613, 0.000, 0.000], [-2.806, 4.861, 0.000], [0.000, 0.000, 5.670]],
  "species": ["Ba", "Mo", "Pb", "O", "O", "O", "O", "O", "O"],
  "frac_coords": [[0.000, 0.000, 0.000], [0.667, 0.333, 0.500], [0.333, 0.667, 0.500], [0.406, 0.032, 0.702], [0.406, 0.374, 0.298], [0.626, 0.032, 0.298], [0.626, 0.594, 0.702], [0.968, 0.374, 0.702], [0.968, 0.594, 0.298]]
}


No. 14
{
  "formula": "BaMoPdO6",
  "functional": "PBE+U",
  "state": "optimized geometry",
  "lattice": [[5.348, 0.000, 0.000], [-2.674, 4.631, 0.000], [0.000, 0.000, 5.744]],
  "species": ["Ba", "Mo", "Pd", "O", "O", "O", "O", "O", "O"],
  "frac_coords": [[0.000, 0.000, 0.000], [0.333, 0.667, 0.500], [0.667, 0.333, 0.500], [0.011, 0.391, 0.692], [0.011, 0.620, 0.308], [0.380, 0.391, 0.308], [0.380, 0.989, 0.692], [0.609, 0.620, 0.692], [0.609, 0.989, 0.308]]
}


No. 15
{
  "formula": "BaMo2PdO8",
  "functional": "PBE+U",
  "state": "optimized geometry",
  "lattice": [[5.912, 0.000, 0.000], [-2.956, 5.120, 0.000], [0.000, 0.000, 7.345]],
  "species": ["Ba", "Mo", "Mo", "Pd", "O", "O", "O", "O", "O", "O", "O", "O"],
  "frac_coords": [[0.000, 0.000, 0.000], [0.333, 0.667, 0.760], [0.667, 0.333, 0.240], [0.000, 0.000, 0.500], [0.164, 0.328, 0.691], [0.164, 0.836, 0.691], [0.328, 0.164, 0.309], [0.333, 0.667, 0.002], [0.667, 0.333, 0.998], [0.672, 0.836, 0.691], [0.836, 0.164, 0.309], [0.836, 0.672, 0.309]]
}


No. 16
{
  "formula": "Ba2MoPdO6",
  "functional": "PBE+U",
  "state": "optimized geometry",
  "lattice": [[2.975, 1.718, 9.891], [-2.975, 1.718, 9.891], [0.000, -3.436, 9.891]],
  "species": ["Ba", "Ba", "Ba", "Ba", "Mo", "Mo", "Pd", "Pd", "O", "O", "O", "O", "O", "O", "O", "O", "O", "O", "O", "O"],
  "frac_coords": [[0.126, 0.126, 0.126], [0.285, 0.285, 0.285], [0.715, 0.715, 0.715], [0.874, 0.874, 0.874], [0.000, 0.000, 0.000], [0.500, 0.500, 0.500], [0.409, 0.409, 0.409], [0.591, 0.591, 0.591], [0.148, 0.619, 0.619], [0.191, 0.191, 0.732], [0.191, 0.732, 0.191], [0.268, 0.809, 0.809], [0.381, 0.381, 0.852], [0.381, 0.852, 0.381], [0.619, 0.148, 0.619], [0.619, 0.619, 0.148], [0.732, 0.191, 0.191], [0.809, 0.268, 0.809], [0.809, 0.809, 0.268], [0.852, 0.381, 0.381]]
}


Number 1: total magnetic moment 1.00 μB/f.u., density 3723 kg/m3, calculated total energy -7.227 eV per atom. Number 2: total magnetic moment 0.00 μB/f.u., density 4009 kg/m3, calculated total energy -7.166 eV per atom. Number 3: total magnetic moment 0.00 μB/f.u., density 5220 kg/m3, calculated total energy -5.539 eV per atom. Number 4: total magnetic moment 3.14 μB/f.u., density 3736 kg/m3, calculated total energy -4.533 eV per atom. Number 5: total magnetic moment 5.00 μB/f.u., density 3797 kg/m3, calculated total energy -7.361 eV per atom. Number 6: total magnetic moment 2.00 μB/f.u., density 4052 kg/m3, calculated total energy -7.272 eV per atom. Number 7: total magnetic moment 2.00 μB/f.u., density 7087 kg/m3, calculated total energy -8.570 eV per atom. Number 8: total magnetic moment 1.00 μB/f.u., density 5873 kg/m3, calculated total energy -8.115 eV per atom. Number 9: total magnetic moment 0.00 μB/f.u., density 6068 kg/m3, calculated total energy -6.419 eV per atom. Number 10: total magnetic moment 0.00 μB/f.u., density 4328 kg/m3, calculated total energy -6.829 eV per atom. Number 11: total magnetic moment 4.31 μB/f.u., density 5081 kg/m3, calculated total energy -4.204 eV per atom. Number 12: total magnetic moment 2.00 μB/f.u., density 6495 kg/m3, calculated total energy -6.652 eV per atom. Number 13: total magnetic moment 0.00 μB/f.u., density 5758 kg/m3, calculated total energy -6.395 eV per atom. Number 14: total magnetic moment 0.00 μB/f.u., density 5085 kg/m3, calculated total energy -6.420 eV per atom. Number 15: total magnetic moment 2.00 μB/f.u., density 4209 kg/m3, calculated total energy -6.698 eV per atom. Number 16: total magnetic moment 1.97 μB/f.u., density 6273 kg/m3, calculated total energy -6.425 eV per atom.